# Li4TaAuO6 (GGA-PBE, relaxed)
# Crystal system ... monoclinic
# Electronic total energy ... -6.13 eV/atom
data_Li4TaAuO6
_chemical_formula_sum 'Li8 Ta2 Au2 O12'
_symmetry_space_group_name_H-M 'C 1 2 1'
_symmetry_Int_Tables_number 5
_cell_length_a 5.238
_cell_length_b 9.064
_cell_length_c 5.199
_cell_angle_alpha 90.00
_cell_angle_beta 109.89
_cell_angle_gamma 90.00
loop_
_symmetry_equiv_pos_as_xyz
'x,y,z'
'-x,y,-z'
'x+1/2,y+1/2,z'
'-x+1/2,y+1/2,-z'
loop_
_atom_site_label
_atom_site_fract_x
_atom_site_fract_y
_atom_site_fract_z
Li1 0.000 0.000 0.000
Li2 0.000 0.150 0.500
Li3 0.000 0.510 0.500
Li4 0.000 0.836 0.500
Ta1 0.000 0.334 0.000
Au1 0.000 0.668 0.000
O1 0.226 0.177 0.250
O2 0.229 0.343 0.760
O3 0.246 0.486 0.246

# GdAlPt (GGA-PBE, relaxed)
# Crystal system ... orthorhombic
# Electronic total energy ... -5.68 eV/atom
data_GdAlPt
_chemical_formula_sum 'Gd4 Al4 Pt4'
_symmetry_space_group_name_H-M 'P n m a'
_symmetry_Int_Tables_number 62
_cell_length_a 5.021
_cell_length_b 4.266
_cell_length_c 11.709
_cell_angle_alpha 90.00
_cell_angle_beta 90.00
_cell_angle_gamma 90.00
loop_
_symmetry_equiv_pos_as_xyz
'x,y,z'
'-x,-y,-z'
'-x+1/2,-y,z+1/2'
'x+1/2,y,-z+1/2'
'x+1/2,-y+1/2,-z+1/2'
'-x+1/2,y+1/2,z+1/2'
'-x,y+1/2,-z'
'x,-y+1/2,z'
loop_
_atom_site_label
_atom_site_fract_x
_atom_site_fract_y
_atom_site_fract_z
Gd1 0.248 0.250 0.152
Al1 0.249 0.750 0.361
Pt1 0.247 0.250 0.469

# BeCuSnMo (GGA-PBE, relaxed)
# Crystal system ... cubic
# Offset from the most stable computed form ... 0 meV/atom
# Electronic total energy ... -5.11 eV/atom
data_BeCuSnMo
_chemical_formula_sum 'Be4 Cu4 Sn4 Mo4'
_symmetry_space_group_name_H-M 'F -4 3 m'
_symmetry_Int_Tables_number 216
_symmetry_space_group_name_Hall 'F -4 2 3'
_cell_length_a 6.196
_cell_length_b 6.196
_cell_length_c 6.196
_cell_angle_alpha 90.00
_cell_angle_beta 90.00
_cell_angle_gamma 90.00
loop_
_atom_site_label
_atom_site_fract_x
_atom_site_fract_y
_atom_site_fract_z
Be1 0.000 0.000 0.000
Cu1 0.250 0.250 0.750
Sn1 0.000 0.000 0.500
Mo1 0.250 0.250 0.250

# Dy2CuTe3 (GGA-PBE, relaxed)
# Crystal system ... orthorhombic
# Electronic total energy ... -4.73 eV/atom
data_Dy2CuTe3
_chemical_formula_sum 'Dy8 Cu4 Te12'
_symmetry_space_group_name_H-M 'P n m a'
_symmetry_Int_Tables_number 62
_cell_length_a 11.074
_cell_length_b 4.129
_cell_length_c 14.251
_cell_angle_alpha 90.00
_cell_angle_beta 90.00
_cell_angle_gamma 90.00
loop_
_symmetry_equiv_pos_as_xyz
'x,y,z'
'-x,-y,-z'
'-x+1/2,-y,z+1/2'
'x+1/2,y,-z+1/2'
'x+1/2,-y+1/2,-z+1/2'
'-x+1/2,y+1/2,z+1/2'
'-x,y+1/2,-z'
'x,-y+1/2,z'
loop_
_atom_site_label
_atom_site_fract_x
_atom_site_fract_y
_atom_site_fract_z
Dy1 0.018 0.250 0.246
Dy2 0.224 0.750 0.519
Cu1 0.235 0.250 0.724
Te1 0.047 0.250 0.603
Te2 0.091 0.750 0.098
Te3 0.235 0.750 0.847

# BaSrGe2Pd2 (GGA-PBE, relaxed)
# Crystal system ... tetragonal
# Electronic total energy ... -4.49 eV/atom
data_BaSrGe2Pd2
_chemical_formula_sum 'Ba1 Sr1 Ge2 Pd2'
_symmetry_space_group_name_H-M 'P 4 m m'
_symmetry_Int_Tables_number 99
_cell_length_a 4.342
_cell_length_b 4.342
_cell_length_c 8.990
_cell_angle_alpha 90.00
_cell_angle_beta 90.00
_cell_angle_gamma 90.00
loop_
_symmetry_equiv_pos_as_xyz
'x,y,z'
'-y,x,z'
'-x,-y,z'
'y,-x,z'
'-x,y,z'
'y,x,z'
'x,-y,z'
'-y,-x,z'
loop_
_atom_site_label
_atom_site_fract_x
_atom_site_fract_y
_atom_site_fract_z
Ba1 0.000 0.000 0.000
Sr1 0.500 0.500 0.596
Ge1 0.000 0.000 0.462
Ge2 0.500 0.500 0.164
Pd1 0.000 0.500 0.312

# KFe2Se3 (GGA-PBE, relaxed)
# Crystal system ... monoclinic
# Electronic total energy ... -5.17 eV/atom
data_KFe2Se3
_chemical_formula_sum 'K2 Fe4 Se6'
_symmetry_space_group_name_H-M 'P 1 21/m 1'
_symmetry_Int_Tables_number 11
_cell_length_a 8.234
_cell_length_b 3.630
_cell_length_c 9.410
_cell_angle_alpha 90.00
_cell_angle_beta 113.58
_cell_angle_gamma 90.00
loop_
_symmetry_equiv_pos_as_xyz
'x,y,z'
'-x,-y,-z'
'-x,y+1/2,-z'
'x,-y+1/2,z'
loop_
_atom_site_label
_atom_site_fract_x
_atom_site_fract_y
_atom_site_fract_z
K1 0.010 0.250 0.267
Fe1 0.473 0.250 0.164
Fe2 0.478 0.750 0.392
Se1 0.262 0.750 0.138
Se2 0.310 0.750 0.562
Se3 0.354 0.250 0.881

# BeSiAgAu (GGA-PBE, relaxed)
# Crystal system ... cubic
# Offset from the most stable computed form ... 0 meV/atom
# Electronic total energy ... -3.53 eV/atom
data_BeSiAgAu
_chemical_formula_sum 'Be4 Si4 Ag4 Au4'
_symmetry_space_group_name_H-M 'F -4 3 m'
_symmetry_Int_Tables_number 216
_symmetry_space_group_name_Hall 'F -4 2 3'
_cell_length_a 6.192
_cell_length_b 6.192
_cell_length_c 6.192
_cell_angle_alpha 90.00
_cell_angle_beta 90.00
_cell_angle_gamma 90.00
loop_
_atom_site_label
_atom_site_fract_x
_atom_site_fract_y
_atom_site_fract_z
Be1 0.000 0.000 0.000
Si1 0.000 0.000 0.500
Ag1 0.250 0.250 0.250
Au1 0.250 0.250 0.750